First-principles (GGA-PBE) data for crystalline Ho3Al2GaGe2Pd at its relaxed geometry, as listed in OQMD.

Cell: 4.242 6.942 6.942 Å, 119.05 90.00 90.00°
Element x y z (fractional)
1 Ho 0.000 0.000 0.000
2 Ho 0.000 0.167 0.575
3 Ho 0.000 0.575 0.167
4 Al 0.500 0.583 0.817
5 Al 0.500 0.817 0.583
6 Ga 0.500 0.348 0.348
7 Ge 0.500 0.247 0.906
8 Ge 0.500 0.906 0.247
9 Pd 0.000 0.595 0.595

Properties
V in Å³/f.u.: 179
E in Ha/atom: -0.188



First-principles (GGA-PBE) data for crystalline Sc3AlGa2Ge2Ir at its relaxed geometry, as listed in OQMD.

Cell: 4.073 6.718 6.718 Å, 120.40 90.00 90.00°
Element x y z (fractional)
1 Sc 0.000 0.000 0.000
2 Sc 0.000 0.411 0.826
3 Sc 0.000 0.826 0.411
4 Al 0.500 0.648 0.648
5 Ga 0.500 0.173 0.416
6 Ga 0.500 0.416 0.173
7 Ge 0.500 0.076 0.746
8 Ge 0.500 0.746 0.076
9 Ir 0.000 0.418 0.418

Properties
V in Å³/f.u.: 159
E in Ha/atom: -0.221



First-principles (GGA-PBE) data for crystalline Sc3AlGa2Ge2Pd at its relaxed geometry, as listed in OQMD.

Cell: 4.082 6.767 6.767 Å, 121.20 90.00 90.00°
Element x y z (fractional)
1 Sc 0.000 0.000 0.000
2 Sc 0.000 0.413 0.833
3 Sc 0.000 0.833 0.413
4 Al 0.500 0.655 0.655
5 Ga 0.500 0.178 0.425
6 Ga 0.500 0.425 0.178
7 Ge 0.500 0.079 0.752
8 Ge 0.500 0.752 0.079
9 Pd 0.000 0.424 0.424

Properties
V in Å³/f.u.: 160
E in Ha/atom: -0.204



First-principles (GGA-PBE) data for crystalline Sc3Al2GaGe2Pt at its relaxed geometry, as listed in OQMD.

Cell: 4.069 6.711 6.711 Å, 119.49 90.00 90.00°
Element x y z (fractional)
1 Sc 0.000 0.000 0.000
2 Sc 0.000 0.166 0.580
3 Sc 0.000 0.580 0.166
4 Al 0.500 0.583 0.822
5 Al 0.500 0.822 0.583
6 Ga 0.500 0.338 0.338
7 Ge 0.500 0.248 0.911
8 Ge 0.500 0.911 0.248
9 Pt 0.000 0.589 0.589

Properties
V in Å³/f.u.: 160
E in Ha/atom: -0.214



First-principles (GGA-PBE) data for crystalline AlGaH6Os at its relaxed geometry, as listed in OQMD.

Cell: 4.578 4.578 4.578 Å, 60.00 60.00 60.00°
Element x y z (fractional)
1 Al 0.000 0.000 0.000
2 Ga 0.500 0.500 0.500
3 H 0.521 0.521 0.979
4 H 0.521 0.979 0.521
5 H 0.521 0.979 0.979
6 H 0.979 0.521 0.521
7 H 0.979 0.521 0.979
8 H 0.979 0.979 0.521
9 Os 0.250 0.250 0.250

Properties
V in Å³/f.u.: 68
E in Ha/atom: -0.151



First-principles (GGA-PBE) data for crystalline HfAlGa at its relaxed geometry, as listed in OQMD.

Cell: 4.539 4.539 4.539 Å, 60.00 60.00 60.00°
Element x y z (fractional)
1 Hf 0.000 0.000 0.000
2 Al 0.750 0.750 0.750
3 Ga 0.250 0.250 0.250

Properties
V in Å³/f.u.: 66
E in Ha/atom: -0.197



First-principles (GGA-PBE) data for crystalline Hf3AlGa2NiIr2 at its relaxed geometry, as listed in OQMD.

Cell: 3.390 7.159 7.159 Å, 120.33 90.00 90.00°
Element x y z (fractional)
1 Hf 0.000 0.000 0.000
2 Hf 0.000 0.395 0.797
3 Hf 0.000 0.797 0.395
4 Al 0.500 0.648 0.648
5 Ga 0.500 0.145 0.399
6 Ga 0.500 0.399 0.145
7 Ni 0.000 0.398 0.398
8 Ir 0.500 0.058 0.729
9 Ir 0.500 0.729 0.058

Properties
V in Å³/f.u.: 150
E in Ha/atom: -0.287



First-principles (GGA-PBE) data for crystalline Li2Hf2AlGaNi2 at its relaxed geometry, as listed in OQMD.

Cell: 4.309 4.309 6.095 Å, 90.00 90.00 90.00°
Element x y z (fractional)
1 Li 0.000 0.500 0.248
2 Li 0.500 0.000 0.752
3 Hf 0.000 0.000 0.000
4 Hf 0.500 0.500 0.500
5 Al 0.000 0.000 0.500
6 Ga 0.500 0.500 0.000
7 Ni 0.000 0.500 0.748
8 Ni 0.500 0.000 0.252

Properties
V in Å³/f.u.: 113
E in Ha/atom: -0.209